# 1
Ba5SrIn4 | PBE | relaxed

abc: 4.318 4.318 23.157
angles: 90.00 90.00 90.00
Fractional coordinates of all 10 atoms:
In1 0.000 0.000 0.408
In2 0.000 0.000 0.592
In3 0.000 0.000 0.774
In4 0.000 0.000 0.226
Ba1 0.500 0.500 0.318
Ba2 0.500 0.500 0.140
Ba3 0.500 0.500 0.682
Ba4 0.500 0.500 0.500
Ba5 0.500 0.500 0.860
Sr1 0.000 0.000 0.000

Computed properties:
- E_form: -0.3214 eV/atom
- Space-group type: P4/mmm

***

# 2
K4Pm3ZrO8 | PBE | relaxed

abc: 7.056 7.494 7.056
angles: 118.10 120.00 90.00
Fractional coordinates of all 16 atoms:
Pm1 0.000 0.500 0.500
Pm2 0.500 0.500 0.500
Pm3 0.500 0.500 0.000
O1 0.754 0.686 0.970
O2 0.246 0.314 0.030
O3 0.268 0.303 0.535
O4 0.216 0.686 0.970
O5 0.732 0.697 0.465
O6 0.784 0.314 0.030
O7 0.216 0.686 0.432
O8 0.784 0.314 0.568
Zr1 0.000 0.500 0.000
K1 0.500 0.000 0.000
K2 0.000 0.000 0.000
K3 0.000 0.000 0.500
K4 0.500 0.000 0.500

Computed properties:
- Space-group type: R-3m
- Energy relative to the elements, uncorrected: -246.4 kJ/mol of atoms

***

# 3
Ba4SbSI2 | PBE | relaxed

abc: 4.885 8.385 8.739
angles: 108.93 90.00 90.00
Fractional coordinates of all 8 atoms:
S1 0.000 0.000 0.000
I1 0.500 0.000 0.500
I2 0.000 0.500 0.500
Ba1 0.000 0.250 0.782
Ba2 0.500 0.774 0.791
Ba3 0.500 0.226 0.209
Ba4 0.000 0.750 0.218
Sb1 0.500 0.500 0.000

Computed properties:
- Space-group type: P2/m
- Energy relative to the elements, uncorrected: -149.8 kJ/mol of atoms

***

# 4
MgSc7In4 | PBE | relaxed

abc: 5.348 8.864 7.230
angles: 80.76 68.29 72.44
Fractional coordinates of all 12 atoms:
In1 0.701 0.665 0.933
In2 0.299 0.335 0.067
In3 0.432 0.778 0.358
In4 0.568 0.222 0.642
Sc1 0.067 0.659 0.207
Sc2 0.663 0.404 0.270
Sc3 0.500 0.000 0.000
Sc4 0.337 0.596 0.730
Sc5 0.933 0.341 0.793
Sc6 0.784 0.873 0.559
Sc7 0.216 0.127 0.441
Mg1 0.000 0.000 0.000

Computed properties:
- E_form: -0.0426 eV/atom
- Space-group type: C2/m

***

no.,DOS(E_F) (states/eV/cell)
1,8.89
2,3.66
3,3.20
4,13.96